#P
Tb7Nd2Sc2 | PBE | optimized geometry

Results
V   32.259 Å³/atom
Total magnetic moment   0.03 μB per formula unit

Structure (POSCAR):
```
Tb7Nd2Sc2
1.0
3.604 0.000 0.000
1.802 10.494 -0.153
1.802 4.841 9.312
Tb Nd Sc
7 2 2
direct
0.802 0.035 0.360 Tb
0.866 0.432 0.837 Tb
0.500 0.085 0.915 Tb
0.659 0.420 0.261 Tb
0.341 0.739 0.580 Tb
0.198 0.640 0.965 Tb
0.134 0.163 0.568 Tb
0.000 0.747 0.253 Nd
0.500 0.437 0.563 Nd
0.687 0.891 0.735 Sc
0.313 0.265 0.109 Sc
```

#Q
Tb7Nd2Sc2 | PBE | optimized geometry

Results
V   33.182 Å³/atom
Total magnetic moment   0.00 μB per formula unit

Structure (POSCAR):
```
Tb7Nd2Sc2
1.0
-6.215 5.349 6.156
-0.284 -3.025 1.896
6.370 3.131 7.400
Tb Nd Sc
7 2 2
direct
0.005 0.677 0.642 Tb
0.358 0.677 0.995 Tb
0.214 0.133 0.786 Tb
0.000 0.500 0.000 Tb
0.786 0.867 0.214 Tb
0.995 0.323 0.358 Tb
0.642 0.323 0.005 Tb
0.677 0.000 0.677 Nd
0.323 0.000 0.323 Nd
0.406 0.648 0.594 Sc
0.594 0.352 0.406 Sc
```

If we sort the structures by their calculated energies, the order from most to least stable is #P, #Q.

#P
Tb5Nd2Sc4 | PBE | optimized geometry

Results
V   29.865 Å³/atom
Total magnetic moment   0.00 μB per formula unit

Structure (POSCAR):
```
Tb5Nd2Sc4
1.0
-1.677 0.928 -3.021
7.625 1.775 -3.688
-2.769 -11.473 0.133
Tb Nd Sc
5 2 4
direct
0.141 0.084 0.282 Tb
0.859 0.916 0.718 Tb
0.213 0.784 0.425 Tb
0.500 0.000 0.000 Tb
0.787 0.216 0.575 Tb
0.567 0.697 0.134 Nd
0.433 0.303 0.866 Nd
0.691 0.431 0.381 Sc
0.071 0.367 0.141 Sc
0.309 0.569 0.619 Sc
0.929 0.633 0.859 Sc
```

#Q
Tb5Nd2Sc4 | PBE | optimized geometry

Results
V   30.216 Å³/atom
Total magnetic moment   0.00 μB per formula unit

Structure (POSCAR):
```
Tb5Nd2Sc4
1.0
-2.356 -4.687 4.067
2.266 -6.431 -0.681
5.008 -0.776 7.423
Tb Nd Sc
5 2 4
direct
0.238 0.155 0.832 Tb
0.762 0.845 0.168 Tb
0.000 0.500 0.500 Tb
0.775 0.155 0.832 Tb
0.225 0.845 0.168 Tb
0.314 0.615 0.758 Nd
0.686 0.385 0.242 Nd
0.279 0.971 0.472 Sc
0.721 0.029 0.528 Sc
0.728 0.677 0.866 Sc
0.272 0.323 0.134 Sc
```

If we sort the structures by their calculated energies, the order from most to least stable is #P, #Q.

#P
Tb4Nd3Sc2 | PBE | optimized geometry

Results
V   31.232 Å³/atom
Total magnetic moment   0.00 μB per formula unit

Structure (POSCAR):
```
Tb4Nd3Sc2
1.0
5.016 0.000 0.001
2.507 5.491 1.021
-0.002 1.405 10.467
Tb Nd Sc
4 3 2
direct
0.668 0.665 0.891 Tb
0.997 0.006 0.329 Tb
0.003 0.994 0.671 Tb
0.332 0.335 0.109 Tb
0.331 0.337 0.445 Nd
0.000 0.000 0.000 Nd
0.669 0.663 0.555 Nd
0.334 0.332 0.779 Sc
0.666 0.668 0.221 Sc
```

#Q
Tb4Nd3Sc2 | PBE | optimized geometry

Results
V   31.729 Å³/atom
Total magnetic moment   0.00 μB per formula unit

Structure (POSCAR):
```
Tb4Nd3Sc2
1.0
-5.034 0.502 -4.436
-8.568 -7.575 0.032
-10.761 1.546 3.552
Tb Nd Sc
8 6 4
direct
0.486 0.827 0.202 Tb
0.014 0.798 0.173 Tb
0.514 0.173 0.798 Tb
0.986 0.202 0.827 Tb
0.993 0.186 0.435 Tb
0.507 0.565 0.814 Tb
0.007 0.814 0.565 Tb
0.493 0.435 0.186 Tb
0.934 0.101 0.201 Nd
0.566 0.799 0.899 Nd
0.066 0.899 0.799 Nd
0.434 0.201 0.101 Nd
0.250 0.507 0.493 Nd
0.750 0.493 0.507 Nd
0.469 0.119 0.543 Sc
0.031 0.457 0.881 Sc
0.531 0.881 0.457 Sc
0.969 0.543 0.119 Sc
```

If we sort the structures by their calculated energies, the order from most to least stable is #P, #Q.

#P
Tb7Nd12Sc | PBE | optimized geometry

Results
V   34.612 Å³/atom
Total magnetic moment   0.00 μB per formula unit

Structure (POSCAR):
```
Tb7Nd12Sc
1.0
6.101 0.000 -1.256
-3.175 9.811 -5.129
0.250 0.000 11.514
Tb Nd Sc
7 12 1
direct
0.119 0.758 0.001 Tb
0.881 0.001 0.242 Tb
0.639 0.758 0.758 Tb
0.500 0.000 0.000 Tb
0.361 0.242 0.242 Tb
0.119 0.999 0.758 Tb
0.881 0.242 0.999 Tb
0.088 0.587 0.175 Nd
0.087 0.175 0.588 Nd
0.579 0.648 0.001 Nd
0.421 0.001 0.353 Nd
0.499 0.412 0.587 Nd
0.068 0.647 0.648 Nd
0.932 0.353 0.352 Nd
0.501 0.588 0.413 Nd
0.579 0.999 0.647 Nd
0.421 0.352 0.999 Nd
0.913 0.825 0.412 Nd
0.912 0.413 0.825 Nd
0.000 0.000 0.000 Sc
```

#Q
Tb7Nd12Sc | PBE | optimized geometry

Results
V   34.011 Å³/atom
Total magnetic moment   0.00 μB per formula unit

Structure (POSCAR):
```
Tb7Nd12Sc
1.0
9.407 -0.131 -0.196
-2.741 9.000 -0.196
-2.741 -3.647 8.230
Tb Nd Sc
7 12 1
direct
0.101 0.685 0.994 Tb
0.315 0.006 0.899 Tb
0.006 0.899 0.315 Tb
0.500 0.500 0.500 Tb
0.994 0.101 0.685 Tb
0.685 0.994 0.101 Tb
0.899 0.315 0.006 Tb
0.779 0.323 0.617 Nd
0.677 0.383 0.221 Nd
0.403 0.056 0.294 Nd
0.944 0.706 0.597 Nd
0.383 0.221 0.677 Nd
0.706 0.597 0.944 Nd
0.294 0.403 0.056 Nd
0.617 0.779 0.323 Nd
0.056 0.294 0.403 Nd
0.597 0.944 0.706 Nd
0.323 0.617 0.779 Nd
0.221 0.677 0.383 Nd
0.000 0.000 0.000 Sc
```

If we sort the structures by their calculated energies, the order from most to least stable is #Q, #P.

#P
Tb6Nd3Sc | PBE | optimized geometry

Results
V   34.004 Å³/atom
Total magnetic moment   0.00 μB per formula unit

Structure (POSCAR):
```
Tb6Nd3Sc
1.0
7.760 0.000 -3.149
-0.722 8.771 -1.779
-2.148 0.118 5.840
Tb Nd Sc
6 3 1
direct
0.305 0.360 0.239 Tb
0.066 0.640 0.761 Tb
0.695 0.640 0.761 Tb
0.934 0.360 0.239 Tb
0.384 0.139 0.769 Tb
0.616 0.861 0.231 Tb
0.782 0.252 0.564 Nd
0.218 0.748 0.436 Nd
0.000 0.000 0.000 Nd
0.500 0.500 0.000 Sc
```

#Q
Tb6Nd3Sc | PBE | optimized geometry

Results
V   32.660 Å³/atom
Total magnetic moment   0.00 μB per formula unit

Structure (POSCAR):
```
Tb6Nd3Sc
1.0
-1.623 -2.239 5.670
0.275 -10.195 -3.947
9.009 4.436 4.331
Tb Nd Sc
12 6 2
direct
0.051 0.711 0.622 Tb
0.551 0.622 0.711 Tb
0.369 0.535 0.954 Tb
0.869 0.954 0.535 Tb
0.396 0.956 0.044 Tb
0.639 0.276 0.724 Tb
0.139 0.724 0.276 Tb
0.896 0.044 0.956 Tb
0.369 0.046 0.465 Tb
0.869 0.465 0.046 Tb
0.051 0.378 0.289 Tb
0.551 0.289 0.378 Tb
0.457 0.945 0.717 Nd
0.957 0.717 0.945 Nd
0.071 0.386 0.614 Nd
0.571 0.614 0.386 Nd
0.957 0.055 0.283 Nd
0.457 0.283 0.055 Nd
0.125 0.200 0.800 Sc
0.625 0.800 0.200 Sc
```

If we sort the structures by their calculated energies, the order from most to least stable is #Q, #P.

#P
Tb6NdSc3 | PBE | optimized geometry

Results
V   30.538 Å³/atom
Total magnetic moment   0.87 μB per formula unit

Structure (POSCAR):
```
Tb6NdSc3
1.0
-4.914 -8.273 0.700
1.412 -5.825 7.560
-3.915 -2.907 4.648
Tb Nd Sc
6 1 3
direct
0.901 0.560 0.299 Tb
0.240 0.901 0.299 Tb
0.560 0.240 0.299 Tb
0.065 0.400 0.799 Tb
0.735 0.065 0.799 Tb
0.400 0.735 0.799 Tb
0.900 0.900 0.301 Nd
0.400 0.400 0.801 Sc
0.639 0.639 0.083 Sc
0.160 0.160 0.520 Sc
```

#Q
Tb6NdSc3 | PBE | optimized geometry

Results
V   30.279 Å³/atom
Total magnetic moment   0.00 μB per formula unit

Structure (POSCAR):
```
Tb6NdSc3
1.0
-1.946 5.368 2.599
-9.090 -0.522 -5.728
1.106 -4.336 9.782
Tb Nd Sc
12 2 6
direct
0.026 0.705 0.638 Tb
0.526 0.638 0.705 Tb
0.359 0.571 0.975 Tb
0.859 0.975 0.571 Tb
0.343 0.956 0.044 Tb
0.676 0.316 0.684 Tb
0.176 0.684 0.316 Tb
0.843 0.044 0.956 Tb
0.359 0.025 0.429 Tb
0.859 0.429 0.025 Tb
0.026 0.362 0.295 Tb
0.526 0.295 0.362 Tb
0.213 0.214 0.786 Nd
0.713 0.786 0.214 Nd
0.422 0.921 0.689 Sc
0.922 0.689 0.921 Sc
0.140 0.385 0.615 Sc
0.640 0.615 0.385 Sc
0.922 0.079 0.311 Sc
0.422 0.311 0.079 Sc
```

If we sort the structures by their calculated energies, the order from most to least stable is #Q, #P.